The following is a DFT calculation (PBE) of AcPrSnHg after structural relaxation.

Lattice parameters (Å, degrees): 4.597 4.655 12.325 90.00 90.00 90.00
Positions (direct):
Ac (0.000, 0.000, 0.000)
Ac (0.000, 0.500, 0.500)
Pr (0.500, 0.000, 0.720)
Pr (0.500, 0.500, 0.220)
Sn (0.000, 0.000, 0.275)
Sn (0.000, 0.500, 0.775)
Hg (0.500, 0.000, 0.438)
Hg (0.500, 0.500, 0.938)

**Formation energy**: -588 meV/atom
**Density**: 8.65 g/cm3
**Total DFT energy (no corrections)**: -0.1428 Ha/atom
**Space group**: Amm2